No. 1
Crystalline Tb3YTm12 at its relaxed geometry, computed with PBE.

As for the total magnetization: 0.000 μB/cell. The value obtained for the calculated volume is 30.48 Å³ per atom. For the formation energy, the calculation gives 25 meV per atom.

The space group is P4/mmm (No. 123) and the conventional cell measures 4.9574, 4.9574 and 19.8419 Å, with angles of 90.00, 90.00 and 90.00 degrees. The inequivalent atoms are Tb at (0.0000, 0.0000, 0.0000), Tb at (0.0000, 0.0000, 0.2497), Y at (0.0000, 0.0000, 0.5000), Tm at (0.0000, 0.5000, 0.1249), Tm at (0.0000, 0.5000, 0.3746), Tm at (0.5000, 0.5000, 0.0000), Tm at (0.5000, 0.5000, 0.2499) and Tm at (0.5000, 0.5000, 0.5000).

=====

No. 2
Crystalline Tb3Y8Tm4 at its relaxed geometry, computed with PBE.

As for the total magnetization: 0.002 μB/cell. The value obtained for the calculated volume is 33.07 Å³ per atom. For the formation energy, the calculation gives 410 meV per atom.

The space group is C2/m (No. 12) and the conventional cell measures 13.3546, 12.7682 and 6.7100 Å, with angles of 90.00, 119.87 and 90.00 degrees. The inequivalent atoms are Tb at (0.0000, 0.0000, 0.0000), Tb at (0.2500, 0.2500, 0.0000), Y at (0.0000, 0.1442, 0.5000), Y at (0.0000, 0.2510, 0.0000), Y at (0.2295, 0.0000, 0.9451), Y at (0.2417, 0.0000, 0.4772), Tm at (0.0000, 0.5000, 0.0000), Tm at (0.0000, 0.5000, 0.5000) and Tm at (0.2500, 0.2500, 0.5000).

=====

No. 3
Crystalline Tb5Y2Tm at its relaxed geometry, computed with PBE.

As for the total magnetization: 0.000 μB/cell. The value obtained for the calculated volume is 32.84 Å³ per atom. For the formation energy, the calculation gives 128 meV per atom.

The space group is Cmcm (No. 63) and the conventional cell measures 5.6399, 16.3332 and 11.4078 Å, with angles of 90.00, 90.00 and 90.00 degrees. The inequivalent atoms are Tb at (0.0000, 0.0453, 0.1127), Tb at (0.0000, 0.3939, 0.7500), Tb at (0.0000, 0.4123, 0.0799), Y at (0.0000, 0.2129, 0.5811) and Tm at (0.0000, 0.2275, 0.2500).

=====

No. 4
Crystalline Tb3Y7Tm at its relaxed geometry, computed with PBE.

As for the total magnetization: 0.000 μB/cell. The value obtained for the calculated volume is 32.78 Å³ per atom. For the formation energy, the calculation gives 146 meV per atom.

The space group is P2/m (No. 10) and the conventional cell measures 6.9101, 5.5302 and 9.9862 Å, with angles of 90.00, 109.10 and 90.00 degrees. The inequivalent atoms are Tb at (0.0000, 0.0000, 0.0000), Tb at (0.2776, 0.5000, 0.4952), Y at (0.0000, 0.0000, 0.5000), Y at (0.1498, 0.5000, 0.7887), Y at (0.3177, 0.5000, 0.1356), Y at (0.4245, 0.0000, 0.3294) and Tm at (0.5000, 0.0000, 0.0000).

=====

No. 5
Crystalline Tb12Y7Tm at its relaxed geometry, computed with PBE.

As for the total magnetization: 0.000 μB/cell. The value obtained for the calculated volume is 33.50 Å³ per atom. For the formation energy, the calculation gives 317 meV per atom.

The space group is R-3 (No. 148, hexagonal axes) and the conventional cell measures 18.6062, 18.6062 and 6.7039 Å, with angles of 90.00, 90.00 and 120.00 degrees. The inequivalent atoms are Tb at (0.9997, 0.2126, 0.2268), Tb at (0.0042, 0.4714, 0.2440), Y at (0.0000, 0.0000, 0.0000), Y at (0.0052, 0.8503, 0.2723) and Tm at (0.0000, 0.0000, 0.5000).

=====

No. 6
Crystalline Tb2Y2Tm15 at its relaxed geometry, computed with PBE.

As for the total magnetization: 0.000 μB/cell. The value obtained for the calculated volume is 32.29 Å³ per atom. For the formation energy, the calculation gives 282 meV per atom.

The space group is R-3m (No. 166, hexagonal axes) and the conventional cell measures 11.0608, 11.0608 and 17.3737 Å, with angles of 90.00, 90.00 and 120.00 degrees. The inequivalent atoms are Tb at (0.0000, 0.0000, 0.1050), Y at (0.0000, 0.0000, 0.3245), Tm at (0.0000, 0.3021, 0.0000), Tm at (0.0000, 0.5000, 0.5000) and Tm at (0.0105, 0.5053, 0.1381).